(1)
First-principles (GGA-PBEsol) data for an optimized crystal structure of Dy4MgRh, as listed in Alexandria.

a = 9.5359 Å, b = 9.5359 Å, c = 9.5359 Å
α = 60.00°, β = 60.00°, γ = 60.00°
Fractional coordinates of all 24 atoms:
Dy 0.0630 0.0630 0.4370
Dy 0.0630 0.4370 0.0630
Dy 0.0630 0.4370 0.4370
Dy 0.1857 0.1857 0.8143
Dy 0.1857 0.8143 0.1857
Dy 0.1857 0.8143 0.8143
Dy 0.2095 0.5968 0.5968
Dy 0.4370 0.0630 0.0630
Dy 0.4370 0.0630 0.4370
Dy 0.4370 0.4370 0.0630
Dy 0.5968 0.2095 0.5968
Dy 0.5968 0.5968 0.2095
Dy 0.5968 0.5968 0.5968
Dy 0.8143 0.1857 0.1857
Dy 0.8143 0.1857 0.8143
Dy 0.8143 0.8143 0.1857
Mg 0.5102 0.8299 0.8299
Mg 0.8299 0.5102 0.8299
Mg 0.8299 0.8299 0.5102
Mg 0.8299 0.8299 0.8299
Rh 0.3920 0.3920 0.3920
Rh 0.3920 0.3920 0.8239
Rh 0.3920 0.8239 0.3920
Rh 0.8239 0.3920 0.3920

Output
* formation enthalpy at 0 K: -0.3783 eV per atom

***

(2)
First-principles (GGA-PBEsol) data for an optimized crystal structure of DyMgRh2, as listed in Alexandria.

a = 4.5724 Å, b = 4.5724 Å, c = 4.5724 Å
α = 60.00°, β = 60.00°, γ = 60.00°
Fractional coordinates of all 4 atoms:
Dy 0.0000 0.0000 0.0000
Mg 0.5000 0.5000 0.5000
Rh 0.2500 0.2500 0.2500
Rh 0.7500 0.7500 0.7500

Output
* formation enthalpy at 0 K: -0.6627 eV per atom

***

(3)
First-principles (GGA-PBEsol) data for an optimized crystal structure of Dy2MgS4, as listed in Alexandria.

a = 7.8084 Å, b = 7.8084 Å, c = 7.8084 Å
α = 60.00°, β = 60.00°, γ = 60.00°
Fractional coordinates of all 14 atoms:
Dy 0.0000 0.0000 0.0000
Dy 0.0000 0.0000 0.5000
Dy 0.0000 0.5000 0.0000
Dy 0.5000 0.0000 0.0000
Mg 0.3750 0.3750 0.3750
Mg 0.6250 0.6250 0.6250
S 0.2356 0.7548 0.7548
S 0.2452 0.2452 0.2452
S 0.2452 0.2452 0.7644
S 0.2452 0.7644 0.2452
S 0.7548 0.2356 0.7548
S 0.7548 0.7548 0.2356
S 0.7548 0.7548 0.7548
S 0.7644 0.2452 0.2452

Output
* raw formation energy: -1.897 eV/atom
* ΔE to the lowest computed polymorph: 0.0 meV/atom

***

| no. | DOS(E_F) (states/eV per cell) | magnetic moment (μB/f.u.) |
| --- | --- | --- |
| 1 | 21.2 | 0.0 |
| 2 | 1.8 | 0.0 |
| 3 | 0.0 | 0.0 |